KZrTl: relaxed, GGA-PBE.

Results
* energy relative to the elements: 1364.5 meV per atom
* energy above the most stable polymorph in this dataset: 1.342 eV/atom
* space group: F-43m (216)

Unit cell a=5.1619 b=5.1619 c=5.1619 alpha=60.00 beta=60.00 gamma=60.00
Element x y z (fractional)
1 Tl 0.0000 0.0000 0.0000
2 K 0.7500 0.7500 0.7500
3 Zr 0.5000 0.5000 0.5000